Record 1
The following is a GGA-PBE calculation of a geometry-optimized LiGa7Pd4 structure, from Alexandria via LeMat-Bulk.

Structure (POSCAR):
```
LiGa7Pd4
1.0
6.3677 -2.2330 0.0000
6.3677 2.2330 0.0000
-5.6753 0.0000 7.1509
Li Ga Pd
1 7 4
direct
0.0000 0.0000 0.0000
0.0684 0.0684 0.3369
0.2116 0.2116 0.8594
0.3485 0.3485 0.4035
0.5000 0.5000 0.0000
0.6515 0.6515 0.5965
0.7884 0.7884 0.1406
0.9316 0.9316 0.6631
0.2949 0.2949 0.6577
0.4316 0.4316 0.2091
0.5684 0.5684 0.7909
0.7051 0.7051 0.3423
```

Computed properties:
Space-group type: No. 12
Spin magnetization (μB/f.u.): 0.000
Energy relative to the elements (eV per formula unit): -4.5

Record 2
The following is a GGA-PBE calculation of a geometry-optimized Li3Ga2Pd2 structure, from Alexandria via LeMat-Bulk.

Structure (POSCAR):
```
Li3Ga2Pd2
1.0
3.7327 -2.1647 0.0000
3.7327 2.1647 0.0000
-2.5172 0.0000 6.2830
Li Ga Pd
3 2 2
direct
0.0000 0.0000 0.0000
0.1418 0.1418 0.4265
0.8582 0.8582 0.5735
0.2808 0.2808 0.8420
0.7192 0.7192 0.1580
0.4195 0.4195 0.2598
0.5805 0.5805 0.7402
```

Computed properties:
Space-group type: No. 12
Spin magnetization (μB/f.u.): 0.000
Energy relative to the elements (eV per formula unit): -3.9
E above lowest polymorph (eV per atom): 0.021

Record 3
The following is a GGA-PBE calculation of a geometry-optimized Li2Ga5Pd structure, from Alexandria via LeMat-Bulk.

Structure (POSCAR):
```
Li2Ga5Pd
1.0
3.3238 -4.3797 0.0000
3.3238 4.3797 0.0000
-3.1021 0.0000 4.4126
Li Ga Pd
2 5 1
direct
0.2326 0.7674 0.0000
0.7674 0.2326 0.0000
0.1837 0.1837 0.4755
0.2786 0.7158 0.5014
0.3059 0.3059 0.0639
0.6885 0.6885 0.9326
0.7158 0.2786 0.5014
0.8214 0.8214 0.5238
```

Computed properties:
Space-group type: No. 8
Spin magnetization (μB/f.u.): 0.000
Energy relative to the elements (eV per formula unit): -2.4
E above lowest polymorph (eV per atom): 0.000

Record 4
The following is a GGA-PBE calculation of a geometry-optimized Li3GaPd2 structure, from Alexandria via LeMat-Bulk.

Structure (POSCAR):
```
Li3GaPd2
1.0
2.8189 -2.8289 0.0000
2.8189 2.8289 0.0000
-2.8154 0.0000 10.6734
Li Ga Pd
6 2 4
direct
0.0419 0.2898 0.5806
0.1254 0.8746 0.7500
0.2898 0.0419 0.0806
0.7102 0.9581 0.9194
0.8746 0.1254 0.2500
0.9581 0.7102 0.4194
0.3744 0.6256 0.2500
0.6256 0.3744 0.7500
0.2029 0.4524 0.9055
0.4524 0.2029 0.4055
0.5476 0.7971 0.5945
0.7971 0.5476 0.0945
```

Computed properties:
Space-group type: No. 15
Spin magnetization (μB/f.u.): 0.000
Energy relative to the elements (eV per formula unit): -3.1
E above lowest polymorph (eV per atom): 0.000

Record 5
The following is a GGA-PBE calculation of a geometry-optimized LiGa2Pd structure, from Alexandria via LeMat-Bulk.

Structure (POSCAR):
```
LiGa2Pd
1.0
0.0000 3.0910 3.0910
3.0910 0.0000 3.0910
3.0910 3.0910 0.0000
Li Ga Pd
1 2 1
direct
0.0000 0.0000 0.0000
0.2500 0.2500 0.2500
0.7500 0.7500 0.7500
0.5000 0.5000 0.5000
```

Computed properties:
Space-group type: No. 225
Spin magnetization (μB/f.u.): 0.000
Energy relative to the elements (eV per formula unit): -2.1
E above lowest polymorph (eV per atom): 0.000

Record 6
The following is a GGA-PBE calculation of a geometry-optimized LiGa8Pd6 structure, from Alexandria via LeMat-Bulk.

Structure (POSCAR):
```
LiGa8Pd6
1.0
9.1189 0.0000 0.0000
-4.5594 7.8972 0.0000
0.0000 0.0000 3.5850
Li Ga Pd
1 8 6
direct
0.0000 0.0000 0.0000
0.0471 0.3081 0.2596
0.2610 0.9529 0.2596
0.3081 0.2610 0.7404
0.3333 0.6667 0.7469
0.6667 0.3333 0.2531
0.6919 0.7390 0.2596
0.7390 0.0471 0.7404
0.9529 0.6919 0.7404
0.1195 0.6278 0.2476
0.3722 0.4917 0.2476
0.4917 0.1195 0.7524
0.5083 0.8805 0.2476
0.6278 0.5083 0.7524
0.8805 0.3722 0.7524
```

Computed properties:
Space-group type: No. 147
Spin magnetization (μB/f.u.): 0.000
Energy relative to the elements (eV per formula unit): -6.4
E above lowest polymorph (eV per atom): 0.136

Record 7
The following is a GGA-PBE calculation of a geometry-optimized Li5Ga8Pd structure, from Alexandria via LeMat-Bulk.

Structure (POSCAR):
```
Li5Ga8Pd
1.0
-3.7838 3.7838 3.9669
3.7838 -3.7838 3.9669
3.7838 3.7838 -3.9669
Li Ga Pd
5 8 1
direct
0.0000 0.0000 0.0000
0.2980 0.2118 0.6827
0.3847 0.7020 0.9138
0.5290 0.6153 0.3173
0.7882 0.4710 0.0862
0.0045 0.7331 0.5991
0.0829 0.3699 0.9436
0.1340 0.4054 0.4009
0.2669 0.8660 0.2714
0.4263 0.1393 0.0564
0.5946 0.9955 0.7286
0.6301 0.5737 0.7130
0.8607 0.9171 0.2870
0.7500 0.2500 0.5000
```

Computed properties:
Space-group type: No. 82
Spin magnetization (μB/f.u.): 0.000
Energy relative to the elements (eV per formula unit): -3.2

Record 8
The following is a GGA-PBE calculation of a geometry-optimized Li4GaPd2 structure, from Alexandria via LeMat-Bulk.

Structure (POSCAR):
```
Li4GaPd2
1.0
6.6982 -1.3930 0.0000
6.6982 1.3930 0.0000
-3.2821 0.0000 5.9369
Li Ga Pd
4 1 2
direct
0.0949 0.0949 0.2255
0.3533 0.3533 0.1002
0.6467 0.6467 0.8998
0.9051 0.9051 0.7745
0.0000 0.0000 0.5000
0.2154 0.2154 0.6480
0.7846 0.7846 0.3520
```

Computed properties:
Space-group type: No. 12
Spin magnetization (μB/f.u.): 0.000
Energy relative to the elements (eV per formula unit): -2.2

Record 9
The following is a GGA-PBE calculation of a geometry-optimized Li3GaPd structure, from Alexandria via LeMat-Bulk.

Structure (POSCAR):
```
Li3GaPd
1.0
4.5912 0.0000 0.0000
0.0000 4.5912 0.0000
0.0000 0.0000 4.5912
Li Ga Pd
3 1 1
direct
0.0000 0.0000 0.5000
0.0000 0.5000 0.0000
0.5000 0.0000 0.0000
0.0000 0.0000 0.0000
0.5000 0.5000 0.5000
```

Computed properties:
Space-group type: No. 221
Spin magnetization (μB/f.u.): 0.000
Energy relative to the elements (eV per formula unit): 1.6
E above lowest polymorph (eV per atom): 0.746

Record 10
The following is a GGA-PBE calculation of a geometry-optimized Li2Ga4Pd3 structure, from Alexandria via LeMat-Bulk.

Structure (POSCAR):
```
Li2Ga4Pd3
1.0
0.0000 4.6608 6.1128
2.7393 0.0000 6.1128
2.7393 4.6608 0.0000
Li Ga Pd
2 4 3
direct
0.1122 0.1122 0.8878
0.8878 0.8878 0.1122
0.1692 0.4939 0.5061
0.4939 0.1692 0.8308
0.5061 0.8308 0.1692
0.8308 0.5061 0.4939
0.0000 0.0000 0.5000
0.5000 0.5000 0.0000
0.5000 0.5000 0.5000
```

Computed properties:
Space-group type: No. 69
Spin magnetization (μB/f.u.): 0.000
Energy relative to the elements (eV per formula unit): -3.7
E above lowest polymorph (eV per atom): 0.099

Record 11
The following is a GGA-PBE calculation of a geometry-optimized LiGa2Pd structure, from Alexandria via LeMat-Bulk.

Structure (POSCAR):
```
LiGa2Pd
1.0
2.1426 1.2370 4.2690
-2.1426 1.2370 4.2690
0.0000 -2.4740 4.2690
Li Ga Pd
1 2 1
direct
0.0000 0.0000 0.0000
0.5730 0.5730 0.5730
0.7861 0.7861 0.7861
0.2001 0.2001 0.2001
```

Computed properties:
Space-group type: No. 160
Spin magnetization (μB/f.u.): 0.000
Energy relative to the elements (eV per formula unit): -1.8
E above lowest polymorph (eV per atom): 0.065

Record 12
The following is a GGA-PBE calculation of a geometry-optimized Li4Ga5Pd structure, from Alexandria via LeMat-Bulk.

Structure (POSCAR):
```
Li4Ga5Pd
1.0
3.2501 0.0000 0.0000
0.0000 3.2501 0.0000
0.0000 0.0000 14.4429
Li Ga Pd
4 5 1
direct
0.0000 0.0000 0.1024
0.0000 0.0000 0.3029
0.0000 0.0000 0.6971
0.0000 0.0000 0.8976
0.5000 0.5000 0.0000
0.5000 0.5000 0.2039
0.5000 0.5000 0.4017
0.5000 0.5000 0.5983
0.5000 0.5000 0.7961
0.0000 0.0000 0.5000
```

Computed properties:
Space-group type: No. 123
Spin magnetization (μB/f.u.): 0.000
Energy relative to the elements (eV per formula unit): -3.4

| no. | DOS at the Fermi energy (states/eV/f.u.) |
| --- | --- |
| 1 | 3.3 |
| 2 | 2.5 |
| 3 | 2.4 |
| 4 | 2.1 |
| 5 | 1.0 |
| 6 | 5.0 |
| 7 | 5.4 |
| 8 | 1.9 |
| 9 | 1.7 |
| 10 | 5.0 |
| 11 | 0.8 |
| 12 | 3.3 |